Entry from the Open Quantum Materials Database: a relaxed AcCdB crystal (PBE).

Calculated values
Energy: -2.89 eV/atom

Cell lengths 5.0272, 5.0272, 5.0272 Å; angles 60.00, 60.00, 60.00 degrees
Sites, in units of the cell vectors:
Ac  0.0000  0.0000  0.0000
Cd  0.2500  0.2500  0.2500
B  0.7500  0.7500  0.7500

---

Entry from the Open Quantum Materials Database: a relaxed ErScTe crystal (PBE).

Calculated values
Energy: -5.08 eV/atom

Cell lengths 4.8846, 4.8846, 4.8846 Å; angles 60.00, 60.00, 60.00 degrees
Sites, in units of the cell vectors:
Er  0.0000  0.0000  0.0000
Sc  0.5000  0.5000  0.5000
Te  0.2500  0.2500  0.2500